This record from the Alexandria database describes a geometry-optimized CoBMoO2 structure. The functional is GGA+U.

Properties
Energy, eV/cell: -26.0
Size of the total moment, μB per cell: 4.15

Structure (CIF):
```
data_CoBMoO2
_space_group_name_H-M_alt 'P 4/m m m'
_space_group_IT_number 123
_space_group_name_Hall '-P 4 2'
_cell_length_a 3.4341
_cell_length_b 3.4341
_cell_length_c 5.4701
_cell_angle_alpha 90.00
_cell_angle_beta 90.00
_cell_angle_gamma 90.00
loop_
_atom_site_label
_atom_site_fract_x
_atom_site_fract_y
_atom_site_fract_z
Co1 0.0000 0.0000 0.0000
B1 0.5000 0.5000 0.5000
Mo1 0.0000 0.0000 0.5000
O1 0.0000 0.5000 0.0000
```